# 1
The following is a GGA-PBE calculation of a geometry-optimized Pr3Mg7Zn4 structure, from Alexandria via LeMat-Bulk.

ΔH_f (0 K)	-2.6	eV per formula unit
DFT total energy	-33.18	eV for the cell shown
ρ	4.3	Mg/m³

abc: 4.724 8.858 9.012
angles: 66.12 74.80 74.53
Sites, in units of the cell vectors:
Pr 0.300 0.188 0.212
Pr 0.700 0.812 0.788
Pr 0.000 0.500 0.500
Mg 0.329 0.820 0.523
Mg 0.494 0.206 0.806
Mg 0.840 0.389 0.930
Mg 0.671 0.180 0.477
Mg 0.160 0.611 0.070
Mg 0.000 0.000 0.000
Mg 0.506 0.794 0.194
Zn 0.656 0.466 0.222
Zn 0.344 0.534 0.778
Zn 0.871 0.913 0.345
Zn 0.129 0.087 0.655

# 2
The following is a GGA-PBE calculation of a geometry-optimized Pr6MgZn structure, from Alexandria via LeMat-Bulk.

ΔH_f (0 K)	-0.6	eV per formula unit
DFT total energy	-32.19	eV for the cell shown
excess energy over the best structure of this formula in the dataset	0.0	meV/atom
ρ	6.1	Mg/m³

abc: 5.321 5.321 9.793
angles: 74.23 74.29 90.00
Sites, in units of the cell vectors:
Pr 0.749 0.749 0.502
Pr 0.608 0.108 0.784
Pr 0.108 0.608 0.784
Pr 0.392 0.892 0.216
Pr 0.251 0.251 0.498
Pr 0.892 0.392 0.216
Mg 0.500 0.500 0.000
Zn 0.000 0.000 0.000

# 3
The following is a GGA-PBE calculation of a geometry-optimized PrMgZn17 structure, from Alexandria via LeMat-Bulk.

ΔH_f (0 K)	-2.5	eV per formula unit
DFT total energy	-30.57	eV for the cell shown
ρ	6.8	Mg/m³

abc: 6.830 6.830 6.830
angles: 82.51 82.51 82.51
Sites, in units of the cell vectors:
Pr 0.661 0.661 0.661
Mg 0.366 0.366 0.366
Zn 0.294 0.004 0.694
Zn 0.694 0.294 0.004
Zn 0.004 0.694 0.294
Zn 0.294 0.694 0.004
Zn 0.004 0.294 0.694
Zn 0.694 0.004 0.294
Zn 0.347 0.846 0.347
Zn 0.347 0.347 0.846
Zn 0.846 0.347 0.347
Zn 0.647 0.164 0.647
Zn 0.647 0.647 0.164
Zn 0.164 0.647 0.647
Zn 0.989 0.502 0.989
Zn 0.989 0.989 0.502
Zn 0.502 0.989 0.989
Zn 0.903 0.903 0.903
Zn 0.107 0.107 0.107

# 4
The following is a GGA-PBE calculation of a geometry-optimized Pr2MgZn structure, from Alexandria via LeMat-Bulk.

ΔH_f (0 K)	-0.1	eV per formula unit
DFT total energy	-12.49	eV for the cell shown
excess energy over the best structure of this formula in the dataset	191.8	meV/atom
ρ	5.2	Mg/m³

abc: 3.677 3.677 10.388
angles: 79.81 79.81 60.00
Sites, in units of the cell vectors:
Pr 0.742 0.742 0.773
Pr 0.258 0.258 0.227
Zn 0.000 0.000 0.000
Mg 0.500 0.500 0.500

# 5
The following is a GGA-PBE calculation of a geometry-optimized Pr7MgZn4 structure, from Alexandria via LeMat-Bulk.

ΔH_f (0 K)	-0.6	eV per formula unit
DFT total energy	-40.76	eV for the cell shown
ρ	6.2	Mg/m³

abc: 5.818 8.960 7.726
angles: 70.51 67.88 71.05
Sites, in units of the cell vectors:
Pr 0.807 0.889 0.497
Pr 0.193 0.111 0.503
Pr 0.072 0.598 0.258
Pr 0.928 0.402 0.742
Pr 0.278 0.678 0.765
Pr 0.500 0.000 0.000
Pr 0.722 0.322 0.235
Mg 0.000 0.000 0.000
Zn 0.527 0.291 0.655
Zn 0.473 0.709 0.345
Zn 0.684 0.661 0.972
Zn 0.316 0.339 0.028

# 6
The following is a GGA-PBE calculation of a geometry-optimized Pr2MgZn6 structure, from Alexandria via LeMat-Bulk.

ΔH_f (0 K)	-1.1	eV per formula unit
DFT total energy	-19.93	eV for the cell shown
excess energy over the best structure of this formula in the dataset	143.7	meV/atom
ρ	5.8	Mg/m³

abc: 3.573 7.663 8.456
angles: 116.94 102.20 90.00
Sites, in units of the cell vectors:
Pr 0.844 0.844 0.688
Pr 0.156 0.156 0.312
Mg 0.000 0.500 0.000
Zn 0.652 0.815 0.304
Zn 0.348 0.185 0.696
Zn 0.348 0.511 0.696
Zn 0.500 0.173 0.000
Zn 0.500 0.827 0.000
Zn 0.652 0.489 0.304